First-principles (PBE) data for crystalline Tb3Sm2Al3 at its relaxed geometry, as listed in Alexandria.

Output
The value obtained for the volume is 208 Å³ per cell. For the relative energy among the computed polymorphs, the calculation gives 19 meV per atom. The calculation puts the formation energy at -0.26 eV per atom. Its raw total energy is -4.58 eV per atom.

Geometry as CIF:
```
data_Tb3Sm2Al3
_chemical_formula_sum 'Tb3 Sm2 Al3'
_space_group_name_H-M_alt 'P 1'
_space_group_IT_number 1
_space_group_name_Hall 'P 1'
_cell_length_a 4.8297
_cell_length_b 4.8366
_cell_length_c 8.9209
_cell_angle_alpha 90.00
_cell_angle_beta 90.00
_cell_angle_gamma 90.00
loop_
_atom_site_label
_atom_site_type_symbol
_atom_site_fract_x
_atom_site_fract_y
_atom_site_fract_z
Al1 Al 0.5000 0.0000 0.5000
Al2 Al 0.0000 0.5000 0.5000
Al3 Al 0.0000 0.5000 0.0000
Sm1 Sm 0.0000 0.0000 0.2693
Sm2 Sm 0.0000 0.0000 0.7307
Tb1 Tb 0.5000 0.0000 0.0000
Tb2 Tb 0.5000 0.5000 0.7239
Tb3 Tb 0.5000 0.5000 0.2761
```

=====

First-principles (PBE) data for crystalline TbSmAl4 at its relaxed geometry, as listed in Alexandria.

Output
The value obtained for the volume is 250 Å³ per cell. For the relative energy among the computed polymorphs, the calculation gives 7 meV per atom. The calculation puts the formation energy at -0.51 eV per atom. Its raw total energy is -4.56 eV per atom.

Geometry as CIF:
```
data_TbSmAl4
_chemical_formula_sum 'Tb2 Sm2 Al8'
_space_group_name_H-M_alt 'P 1'
_space_group_IT_number 1
_space_group_name_Hall 'P 1'
_cell_length_a 5.5969
_cell_length_b 5.5969
_cell_length_c 9.2110
_cell_angle_alpha 90.00
_cell_angle_beta 90.00
_cell_angle_gamma 120.00
loop_
_atom_site_label
_atom_site_type_symbol
_atom_site_fract_x
_atom_site_fract_y
_atom_site_fract_z
Al1 Al 0.3424 0.1712 0.2474
Al2 Al 0.0000 0.0000 0.5000
Al3 Al 0.8288 0.1712 0.2474
Al4 Al 0.1712 0.8288 0.7526
Al5 Al 0.8288 0.6576 0.2474
Al6 Al 0.6576 0.8288 0.7526
Al7 Al 0.0000 0.0000 0.0000
Al8 Al 0.1712 0.3424 0.7526
Tb1 Tb 0.3333 0.6667 0.0675
Tb2 Tb 0.6667 0.3333 0.9325
Sm1 Sm 0.3333 0.6667 0.4314
Sm2 Sm 0.6667 0.3333 0.5686
```